(1)
{
  "formula": "CsRb2Hg2",
  "functional": "SCAN",
  "state": "single point on PBEsol structure",
  "cell": [[-1.5093, -0.0959, -3.8902], [-1.6288, -10.3115, 0.8861], [-9.6312, 1.8385, 3.6912]],
  "species": ["Cs", "Cs", "Hg", "Hg", "Hg", "Hg", "Rb", "Rb", "Rb", "Rb"],
  "frac_coords": [[0.0000, 0.0000, 0.0000], [0.0000, 0.5000, 0.5000], [0.5000, 0.1660, 0.6660], [0.5000, 0.6660, 0.8340], [0.5000, 0.8340, 0.3340], [0.5000, 0.3340, 0.1660], [0.0000, 0.3701, 0.8701], [0.0000, 0.8701, 0.6299], [0.0000, 0.6299, 0.1299], [0.0000, 0.1299, 0.3701]],
  "magnetic_moment_mub_per_cell": 0.006
}

(2)
{
  "formula": "CsRb2Hg2",
  "functional": "SCAN",
  "state": "single point on PBEsol structure",
  "cell": [[-5.5824, 0.7689, 0.9795], [-1.0759, -0.7130, -5.5721], [2.5115, -7.3614, 3.3925]],
  "species": ["Cs", "Hg", "Hg", "Rb", "Rb"],
  "frac_coords": [[0.0000, 0.0000, 0.0000], [0.4035, 0.4035, 0.8071], [0.5965, 0.5965, 0.1929], [0.2500, 0.7500, 0.5000], [0.7500, 0.2500, 0.5000]],
  "magnetic_moment_mub_per_cell": 0.000
}

(2) has the most favorable energy; the next structure is 3.6 kJ/mol of atoms above.

(1)
{
  "formula": "CsHg3Rh",
  "functional": "SCAN",
  "state": "single point on PBEsol structure",
  "cell": [[5.2699, 0.0000, 0.0000], [0.0000, 5.2699, 0.0000], [0.0000, 0.0000, 5.2699]],
  "species": ["Cs", "Rh", "Hg", "Hg", "Hg"],
  "frac_coords": [[0.5000, 0.5000, 0.5000], [0.0000, 0.0000, 0.0000], [0.0000, 0.5000, 0.0000], [0.0000, 0.0000, 0.5000], [0.5000, 0.0000, 0.0000]],
  "magnetic_moment_mub_per_cell": 0.000
}

(2)
{
  "formula": "CsHg3Rh",
  "functional": "SCAN",
  "state": "single point on PBEsol structure",
  "cell": [[-4.6457, -3.3932, 3.0167], [-2.8489, -1.1821, -5.7169], [3.5353, -5.4116, -0.6428]],
  "species": ["Cs", "Rh", "Hg", "Hg", "Hg"],
  "frac_coords": [[0.0000, 0.0000, 0.0000], [0.5000, 0.5000, 0.5000], [0.0000, 0.5000, 0.0000], [0.0000, 0.0000, 0.5000], [0.5000, 0.0000, 0.0000]],
  "magnetic_moment_mub_per_cell": 2.066
}

(1) has the most favorable energy; the next structure is 126.7 kJ/mol of atoms above.

(1)
{
  "formula": "Cs3HoO3",
  "functional": "SCAN",
  "state": "single point on PBEsol structure",
  "cell": [[7.4134, -0.0355, 0.0002], [-3.2668, 6.6549, 0.0002], [-0.7653, -1.2216, 7.3949]],
  "species": ["Cs", "Cs", "Cs", "Cs", "Cs", "Cs", "Ho", "Ho", "O", "O", "O", "O", "O", "O"],
  "frac_coords": [[0.6437, 0.6437, 0.3533], [0.2112, 0.7888, 0.5000], [0.7888, 0.2112, 0.5000], [0.2620, 0.7380, 0.0000], [0.7380, 0.2620, 0.0000], [0.3563, 0.3563, 0.6467], [0.8277, 0.8277, 0.8476], [0.1723, 0.1723, 0.1524], [0.8947, 0.8947, 0.1396], [0.5629, 0.8366, 0.7319], [0.8366, 0.5629, 0.7319], [0.1634, 0.4371, 0.2681], [0.4371, 0.1634, 0.2681], [0.1053, 0.1053, 0.8604]],
  "magnetic_moment_mub_per_cell": 0.203
}

(2)
{
  "formula": "Cs3HoO3",
  "functional": "SCAN",
  "state": "single point on PBEsol structure",
  "cell": [[-2.6158, -4.1214, -5.6736], [6.2651, 2.2310, -4.5091], [5.4244, -9.7326, 4.5690]],
  "species": ["Cs", "Cs", "Cs", "Cs", "Cs", "Cs", "Cs", "Cs", "Cs", "Cs", "Cs", "Cs", "Ho", "Ho", "Ho", "Ho", "O", "O", "O", "O", "O", "O", "O", "O", "O", "O", "O", "O"],
  "frac_coords": [[0.1574, 0.3512, 0.4236], [0.8760, 0.9401, 0.3425], [0.6805, 0.3814, 0.3102], [0.1805, 0.6186, 0.1898], [0.3760, 0.0599, 0.1575], [0.6574, 0.6488, 0.0764], [0.3426, 0.3512, 0.9236], [0.6240, 0.9401, 0.8425], [0.8195, 0.3814, 0.8102], [0.3195, 0.6186, 0.6898], [0.1240, 0.0599, 0.6575], [0.8426, 0.6488, 0.5764], [0.4099, 0.8449, 0.4293], [0.9099, 0.1551, 0.0707], [0.0901, 0.8449, 0.9293], [0.5901, 0.1551, 0.5707], [0.1494, 0.7538, 0.4484], [0.4478, 0.1109, 0.4143], [0.5487, 0.7070, 0.3022], [0.0487, 0.2930, 0.1978], [0.9478, 0.8891, 0.0857], [0.6494, 0.2462, 0.0516], [0.3506, 0.7538, 0.9484], [0.0522, 0.1109, 0.9143], [0.9513, 0.7070, 0.8022], [0.4513, 0.2930, 0.6978], [0.5522, 0.8891, 0.5857], [0.8506, 0.2462, 0.5516]],
  "magnetic_moment_mub_per_cell": 0.001
}

(2) has the most favorable energy; the next structure is 1.1 kJ/mol of atoms above.

(1)
{
  "formula": "Cs3KI",
  "functional": "SCAN",
  "state": "single point on PBEsol structure",
  "cell": [[8.1144, 0.0000, 0.0000], [0.0000, 8.1144, 0.0000], [0.0000, 0.0000, 8.1144]],
  "species": ["Cs", "Cs", "Cs", "I", "K"],
  "frac_coords": [[0.0000, 0.5000, 0.0000], [0.0000, 0.0000, 0.5000], [0.5000, 0.0000, 0.0000], [0.5000, 0.5000, 0.5000], [0.0000, 0.0000, 0.0000]],
  "magnetic_moment_mub_per_cell": 0.987
}

(2)
{
  "formula": "Cs3KI",
  "functional": "SCAN",
  "state": "single point on PBEsol structure",
  "cell": [[-5.6095, -0.3965, -4.9510], [-4.4144, -3.0254, 5.2437], [-2.2767, 6.8430, 2.0314]],
  "species": ["Cs", "Cs", "Cs", "I", "K"],
  "frac_coords": [[0.0000, 0.5000, 0.0000], [0.0000, 0.0000, 0.5000], [0.5000, 0.0000, 0.0000], [0.0000, 0.0000, 0.0000], [0.5000, 0.5000, 0.5000]],
  "magnetic_moment_mub_per_cell": 0.192
}

(2) has the most favorable energy; the next structure is 45.7 kJ/mol of atoms above.

(1)
{
  "formula": "CsKTe2I",
  "functional": "SCAN",
  "state": "single point on PBEsol structure",
  "cell": [[6.3501, 0.0000, 0.0000], [0.0000, 6.3501, 0.0000], [0.0000, 0.0000, 6.9649]],
  "species": ["Cs", "I", "K", "Te", "Te"],
  "frac_coords": [[0.0000, 0.0000, 0.0000], [0.0000, 0.0000, 0.5000], [0.5000, 0.5000, 0.5000], [0.0000, 0.5000, 0.0000], [0.5000, 0.0000, 0.0000]],
  "magnetic_moment_mub_per_cell": 1.388
}

(2)
{
  "formula": "CsKTe2I",
  "functional": "SCAN",
  "state": "single point on PBEsol structure",
  "cell": [[-2.0421, -5.7821, 1.3784], [2.8327, 0.3346, 5.6006], [-5.3332, 2.4912, 2.5486]],
  "species": ["Cs", "I", "K", "Te", "Te"],
  "frac_coords": [[0.5000, 0.5000, 0.5000], [0.0000, 0.0000, 0.5000], [0.0000, 0.0000, 0.0000], [0.0000, 0.5000, 0.0000], [0.5000, 0.0000, 0.0000]],
  "magnetic_moment_mub_per_cell": 3.009
}

(2) has the most favorable energy; the next structure is 28.0 kJ/mol of atoms above.

(1)
{
  "formula": "CsMg3I",
  "functional": "SCAN",
  "state": "single point on PBEsol structure",
  "cell": [[6.2741, 0.0000, 0.0000], [0.0000, 6.2741, 0.0000], [0.0000, 0.0000, 6.2741]],
  "species": ["Cs", "I", "Mg", "Mg", "Mg"],
  "frac_coords": [[0.5000, 0.5000, 0.5000], [0.0000, 0.0000, 0.0000], [0.0000, 0.5000, 0.0000], [0.0000, 0.0000, 0.5000], [0.5000, 0.0000, 0.0000]],
  "magnetic_moment_mub_per_cell": 0.000
}

(2)
{
  "formula": "CsMg3I",
  "functional": "SCAN",
  "state": "single point on PBEsol structure",
  "cell": [[-6.4028, 0.9709, -2.9672], [1.1531, -5.5560, -4.3062], [-2.9012, -4.3509, 4.8368]],
  "species": ["Cs", "I", "Mg", "Mg", "Mg"],
  "frac_coords": [[0.0000, 0.0000, 0.0000], [0.5000, 0.5000, 0.5000], [0.0000, 0.5000, 0.0000], [0.0000, 0.0000, 0.5000], [0.5000, 0.0000, 0.0000]],
  "magnetic_moment_mub_per_cell": 0.000
}

(1) has the most favorable energy; the next structure is 27.6 kJ/mol of atoms above.

(1)
{
  "formula": "CsNi3I",
  "functional": "SCAN",
  "state": "single point on PBEsol structure",
  "cell": [[-1.7869, -1.7800, -4.0534], [4.3072, -1.7091, -1.1483], [-1.0229, -4.0868, 2.2456]],
  "species": ["Cs", "I", "Ni", "Ni", "Ni"],
  "frac_coords": [[0.5000, 0.5000, 0.5000], [0.0000, 0.0000, 0.0000], [0.0000, 0.5000, 0.0000], [0.0000, 0.0000, 0.5000], [0.5000, 0.0000, 0.0000]],
  "magnetic_moment_mub_per_cell": 0.001
}

(2)
{
  "formula": "CsNi3I",
  "functional": "SCAN",
  "state": "single point on PBEsol structure",
  "cell": [[4.7808, 0.0000, 0.0000], [0.0000, 4.7808, 0.0000], [0.0000, 0.0000, 4.7808]],
  "species": ["Cs", "I", "Ni", "Ni", "Ni"],
  "frac_coords": [[0.0000, 0.0000, 0.0000], [0.5000, 0.5000, 0.5000], [0.0000, 0.5000, 0.0000], [0.0000, 0.0000, 0.5000], [0.5000, 0.0000, 0.0000]],
  "magnetic_moment_mub_per_cell": 0.012
}

(1) has the most favorable energy; the next structure is 103.4 kJ/mol of atoms above.

(1)
{
  "formula": "CsZnSbI2",
  "functional": "SCAN",
  "state": "single point on PBEsol structure",
  "cell": [[-4.1380, 0.3732, -2.9980], [-3.5198, -0.7705, 4.7623], [-0.1039, 5.9059, 0.8787]],
  "species": ["Cs", "I", "I", "Zn", "Sb"],
  "frac_coords": [[0.5000, 0.5000, 0.5000], [0.0000, 0.0000, 0.5000], [0.0000, 0.5000, 0.0000], [0.0000, 0.0000, 0.0000], [0.5000, 0.0000, 0.0000]],
  "magnetic_moment_mub_per_cell": 1.801
}

(2)
{
  "formula": "CsZnSbI2",
  "functional": "SCAN",
  "state": "single point on PBEsol structure",
  "cell": [[7.0485, 0.0000, 0.0000], [0.0000, 7.0485, 0.0000], [0.0000, 0.0000, 7.7678]],
  "species": ["Cs", "I", "I", "Zn", "Sb"],
  "frac_coords": [[0.0000, 0.0000, 0.0000], [0.0000, 0.5000, 0.0000], [0.5000, 0.0000, 0.0000], [0.5000, 0.5000, 0.5000], [0.0000, 0.0000, 0.5000]],
  "magnetic_moment_mub_per_cell": 3.760
}

(1) has the most favorable energy; the next structure is 89.0 kJ/mol of atoms above.

(1)
{
  "formula": "CsIrN2",
  "functional": "SCAN",
  "state": "single point on PBEsol structure",
  "cell": [[-3.6191, 2.2697, 0.0503], [-3.6899, -1.8858, 1.0394], [-1.8948, 0.9172, 3.7176]],
  "species": ["Cs", "Ir", "N", "N"],
  "frac_coords": [[0.0000, 0.0000, 0.0000], [0.5000, 0.5000, 0.5000], [0.2500, 0.2500, 0.2500], [0.7500, 0.7500, 0.7500]],
  "magnetic_moment_mub_per_cell": 0.000
}

(2)
{
  "formula": "CsIrN2",
  "functional": "SCAN",
  "state": "single point on PBEsol structure",
  "cell": [[-5.4900, -1.1433, 1.7289], [1.8249, -2.8272, -4.8076], [4.2635, -1.8450, 3.5854]],
  "species": ["Cs", "Cs", "Ir", "Ir", "N", "N", "N", "N"],
  "frac_coords": [[0.0000, 0.5000, 0.5000], [0.5000, 0.2500, 0.7500], [0.0000, 0.0000, 0.0000], [0.5000, 0.7500, 0.2500], [0.6742, 0.8750, 0.0492], [0.3258, 0.3750, 0.2008], [0.8258, 0.9508, 0.6250], [0.1742, 0.7992, 0.1250]],
  "magnetic_moment_mub_per_cell": 0.000
}

(2) has the most favorable energy; the next structure is 226.8 kJ/mol of atoms above.

(1)
{
  "formula": "CsSbTe2Ir",
  "functional": "SCAN",
  "state": "single point on PBEsol structure",
  "cell": [[-0.6376, 3.5022, 3.4781], [-5.3941, -1.4193, 0.4404], [1.3018, -3.7133, 3.9776]],
  "species": ["Cs", "Sb", "Ir", "Te", "Te"],
  "frac_coords": [[0.5000, 0.5000, 0.5000], [0.5000, 0.0000, 0.0000], [0.0000, 0.0000, 0.0000], [0.0000, 0.0000, 0.5000], [0.0000, 0.5000, 0.0000]],
  "magnetic_moment_mub_per_cell": 0.003
}

(2)
{
  "formula": "CsSbTe2Ir",
  "functional": "SCAN",
  "state": "single point on PBEsol structure",
  "cell": [[-1.3590, -5.9429, -0.0691], [2.8281, -0.5869, -5.1479], [5.0114, -1.1796, 2.8876]],
  "species": ["Cs", "Sb", "Ir", "Te", "Te"],
  "frac_coords": [[0.0000, 0.0000, 0.0000], [0.5000, 0.0000, 0.0000], [0.5000, 0.5000, 0.5000], [0.0000, 0.0000, 0.5000], [0.0000, 0.5000, 0.0000]],
  "magnetic_moment_mub_per_cell": 2.849
}

(1) has the most favorable energy; the next structure is 235.8 kJ/mol of atoms above.

(1)
{
  "formula": "Cs2KNa2",
  "functional": "SCAN",
  "state": "single point on PBEsol structure",
  "cell": [[4.6310, 0.0000, 0.0000], [0.0000, 12.0741, 0.0000], [0.0000, 0.0000, 12.0741]],
  "species": ["Cs", "Cs", "Cs", "Cs", "Na", "Na", "Na", "Na", "K", "K"],
  "frac_coords": [[0.0000, 0.3615, 0.8615], [0.0000, 0.8615, 0.6385], [0.0000, 0.6385, 0.1385], [0.0000, 0.1385, 0.3615], [0.5000, 0.1603, 0.6603], [0.5000, 0.6603, 0.8397], [0.5000, 0.8397, 0.3397], [0.5000, 0.3397, 0.1603], [0.0000, 0.0000, 0.0000], [0.0000, 0.5000, 0.5000]],
  "magnetic_moment_mub_per_cell": 0.184
}

(2)
{
  "formula": "Cs2KNa2",
  "functional": "SCAN",
  "state": "single point on PBEsol structure",
  "cell": [[4.9042, 0.0000, 0.0000], [0.0000, 4.9042, 0.0000], [-2.4521, -2.4521, 14.6290]],
  "species": ["Cs", "Cs", "Na", "Na", "K"],
  "frac_coords": [[0.3769, 0.3769, 0.7537], [0.6231, 0.6231, 0.2463], [0.2500, 0.7500, 0.5000], [0.7500, 0.2500, 0.5000], [0.0000, 0.0000, 0.0000]],
  "magnetic_moment_mub_per_cell": 0.198
}

(3)
{
  "formula": "Cs2KNa2",
  "functional": "SCAN",
  "state": "single point on PBEsol structure",
  "cell": [[6.3775, 0.0000, 0.0000], [0.0000, 6.3775, 0.0000], [-3.1888, -3.1888, 9.0724]],
  "species": ["Cs", "Cs", "Na", "Na", "K"],
  "frac_coords": [[0.2500, 0.7500, 0.5000], [0.7500, 0.2500, 0.5000], [0.4107, 0.4107, 0.8214], [0.5893, 0.5893, 0.1786], [0.0000, 0.0000, 0.0000]],
  "magnetic_moment_mub_per_cell": 0.243
}

(2) has the most favorable energy; the next structure is 1.6 kJ/mol of atoms above.

(1)
{
  "formula": "Cs2K2Rb",
  "functional": "SCAN",
  "state": "single point on PBEsol structure",
  "cell": [[5.0954, 0.0000, 0.0000], [0.0000, 13.2879, 0.0000], [0.0000, 0.0000, 13.2879]],
  "species": ["Cs", "Cs", "Cs", "Cs", "K", "K", "K", "K", "Rb", "Rb"],
  "frac_coords": [[0.0000, 0.3659, 0.8659], [0.0000, 0.8659, 0.6341], [0.0000, 0.6341, 0.1341], [0.0000, 0.1341, 0.3659], [0.5000, 0.1652, 0.6652], [0.5000, 0.6652, 0.8348], [0.5000, 0.8348, 0.3348], [0.5000, 0.3348, 0.1652], [0.0000, 0.0000, 0.0000], [0.0000, 0.5000, 0.5000]],
  "magnetic_moment_mub_per_cell": 0.285
}

(2)
{
  "formula": "Cs2K2Rb",
  "functional": "SCAN",
  "state": "single point on PBEsol structure",
  "cell": [[5.9503, 0.0000, 0.0000], [0.0000, 5.9503, 0.0000], [-2.9752, -2.9752, 13.2722]],
  "species": ["Cs", "Cs", "K", "K", "Rb"],
  "frac_coords": [[0.3969, 0.3969, 0.7937], [0.6031, 0.6031, 0.2063], [0.2500, 0.7500, 0.5000], [0.7500, 0.2500, 0.5000], [0.0000, 0.0000, 0.0000]],
  "magnetic_moment_mub_per_cell": 0.005
}

(1) has the most favorable energy; the next structure is 1.5 kJ/mol of atoms above.